# 1
The following is a DFT calculation (PBE-GGA) of crystalline Ba2ZnTcN at its relaxed geometry.

Lattice parameters (Å, degrees): 5.8108 5.8108 3.8978 90.00 90.00 90.00
With the nearest neighbours (Å) after each atom.
Space group P4/mmm (No. 123)
Inequivalent atoms, fractional coordinates:
Ba1 0.0000 0.5000 0.0000 x2  2 N 2.91
Zn1 0.0000 0.0000 0.5000 x1  8 Ba 3.50, 2 Zn 3.90
Tc1 0.5000 0.5000 0.5000 x1  2 N 1.95
N1 0.5000 0.5000 0.0000 x1  2 Tc 1.95

density of states at the Fermi level: 4.66 states/eV per cell
total energy: -4.90 eV/atom
total magnetization: 0.001 Bohr magnetons per cell

---

# 2
The following is a DFT calculation (PBE-GGA) of crystalline ScTa2Co2 at its relaxed geometry.

Lattice parameters (Å, degrees): 4.2370 4.2370 9.5474 90.00 90.00 90.00
With the nearest neighbours (Å) after each atom.
Space group I4/mmm (No. 139)
Inequivalent atoms, fractional coordinates:
Sc1 0.0000 0.0000 0.0000 x2  8 Ta 3.19, 8 Co 3.20
Ta1 0.0000 0.5000 0.2500 x4  4 Co 2.46
Co1 0.0000 0.0000 0.3813 x4  1 Co 2.27, 4 Ta 2.46

density of states at the Fermi level: 7.28 states/eV per cell
total energy: -8.97 eV/atom
ΔE_f: -12.0 kJ/mol of atoms
total magnetization: 0.000 Bohr magnetons per cell